Material: LiPPb2
Method: DFT, PBE
State: optimized geometry

volume: 191 Å³ per cell
formation enthalpy at 0 K: 22 meV per atom
energy: -3.6633 eV/atom
D(E_F): 1.0 states/eV/f.u.
crystal system: tetragonal

Unit cell a=4.369 b=4.369 c=10.008 alpha=90.00 beta=90.00 gamma=90.00
Space group I-4m2 (No. 119)
Asymmetric unit:
Li: 0.000 0.000 0.000 x2
P: 0.000 0.500 0.750 x2
Pb: 0.000 0.000 0.500 x2
Pb: 0.000 0.500 0.250 x2